1.
The following is a GGA-PBE calculation of a geometry-optimized Nb2AgWC structure, from Alexandria via LeMat-Bulk.

Unit cell a=4.3566 b=4.3566 c=4.1223 alpha=90.00 beta=90.00 gamma=90.00
Fractional coordinates of all 5 atoms:
Nb 0.0000 0.5000 0.0000
Nb 0.5000 0.0000 0.0000
Ag 0.0000 0.0000 0.5000
W 0.5000 0.5000 0.5000
C 0.5000 0.5000 0.0000

## Properties
Fermi-level density of states in states/eV per cell: 3.57
Calculated density in Mg/m³: 10.39
Energy of formation in meV per atom: 101



2.
The following is a GGA-PBE calculation of a geometry-optimized RbCdMo3 structure, from Alexandria via LeMat-Bulk.

Unit cell a=5.4595 b=5.4595 c=5.4595 alpha=90.00 beta=90.00 gamma=90.00
Fractional coordinates of all 5 atoms:
Rb 0.0000 0.0000 0.0000
Cd 0.5000 0.5000 0.5000
Mo 0.0000 0.5000 0.5000
Mo 0.5000 0.0000 0.5000
Mo 0.5000 0.5000 0.0000

## Properties
Fermi-level density of states in states/eV per cell: 3.99
Calculated density in Mg/m³: 4.96
Energy of formation in meV per atom: 2501



3.
The following is a GGA-PBE calculation of a geometry-optimized CdSi2Os structure, from Alexandria via LeMat-Bulk.

Unit cell a=2.9635 b=2.9635 c=7.6112 alpha=90.00 beta=90.00 gamma=90.00
Fractional coordinates of all 4 atoms:
Cd 0.0000 0.0000 0.0000
Si 0.5000 0.5000 0.3073
Si 0.5000 0.5000 0.6927
Os 0.0000 0.0000 0.5000

## Properties
Fermi-level density of states in states/eV per cell: 2.00
Raw formation energy in meV/atom: 126
Calculated density in Mg/m³: 8.91



4.
The following is a GGA-PBE calculation of a geometry-optimized Ce6Tl5Ag structure, from Alexandria via LeMat-Bulk.

Unit cell a=8.9978 b=8.9978 c=8.9978 alpha=148.74 beta=117.20 gamma=71.83
Fractional coordinates of all 12 atoms:
Ce 0.0840 0.3367 0.7473
Ce 0.2441 0.0000 0.2441
Ce 0.4106 0.6633 0.7473
Ce 0.5894 0.3367 0.2527
Ce 0.7559 0.0000 0.7559
Ce 0.9160 0.6633 0.2527
Tl 0.1667 0.1667 0.0000
Tl 0.3338 0.8338 0.5000
Tl 0.5000 0.5000 0.0000
Tl 0.6662 0.1662 0.5000
Tl 0.8333 0.8333 0.0000
Ag 0.0000 0.5000 0.5000

## Properties
Fermi-level density of states in states/eV per cell: 37.06
Calculated density in Mg/m³: 9.88
Energy of formation in meV per atom: -208



5.
The following is a GGA-PBE calculation of a geometry-optimized NaSm5Tl4 structure, from Alexandria via LeMat-Bulk.

Unit cell a=3.7216 b=3.7216 c=21.5482 alpha=90.00 beta=90.00 gamma=90.00
Fractional coordinates of all 10 atoms:
Na 0.0000 0.0000 0.0000
Sm 0.5000 0.5000 0.1180
Sm 0.5000 0.5000 0.3068
Sm 0.5000 0.5000 0.5000
Sm 0.5000 0.5000 0.6932
Sm 0.5000 0.5000 0.8820
Tl 0.0000 0.0000 0.2080
Tl 0.0000 0.0000 0.4031
Tl 0.0000 0.0000 0.5969
Tl 0.0000 0.0000 0.7920

## Properties
Fermi-level density of states in states/eV per cell: 6.92
Calculated density in Mg/m³: 8.86
Energy of formation in meV per atom: -248



6.
The following is a GGA-PBE calculation of a geometry-optimized TbSmTh2Sb4 structure, from Alexandria via LeMat-Bulk.

Unit cell a=7.7201 b=4.4821 c=7.7615 alpha=90.00 beta=109.65 gamma=90.00
Fractional coordinates of all 8 atoms:
Tb 0.0000 0.0000 0.0000
Sm 0.0000 0.5000 0.5000
Th 0.5000 0.0000 0.5000
Th 0.5000 0.5000 0.0000
Sb 0.2441 0.5000 0.2461
Sb 0.2456 0.0000 0.7504
Sb 0.7544 0.0000 0.2496
Sb 0.7559 0.5000 0.7539

## Properties
Fermi-level density of states in states/eV per cell: 4.53
Raw formation energy in meV/atom: -1042
Calculated density in Mg/m³: 8.27



7.
The following is a GGA-PBE calculation of a geometry-optimized TbSm2Dy4Th structure, from Alexandria via LeMat-Bulk.

Unit cell a=5.0557 b=5.0731 c=10.0342 alpha=90.00 beta=90.05 gamma=90.00
Fractional coordinates of all 8 atoms:
Tb 0.0000 0.0000 0.0000
Sm 0.0000 0.0000 0.5000
Sm 0.5000 0.5000 0.0000
Dy 0.9999 0.5000 0.2529
Dy 0.0001 0.5000 0.7471
Dy 0.4997 0.0000 0.2532
Dy 0.5003 0.0000 0.7468
Th 0.5000 0.5000 0.5000

## Properties
Fermi-level density of states in states/eV per cell: 10.67
Calculated density in Mg/m³: 8.66
Energy of formation in meV per atom: 30



8.
The following is a GGA-PBE calculation of a geometry-optimized Zr2TcHPd structure, from Alexandria via LeMat-Bulk.

Unit cell a=4.5973 b=4.5973 c=3.6012 alpha=90.00 beta=90.00 gamma=90.00
Fractional coordinates of all 5 atoms:
Zr 0.0000 0.5000 0.0000
Zr 0.5000 0.0000 0.0000
Tc 0.0000 0.0000 0.5000
H 0.0000 0.0000 0.0000
Pd 0.5000 0.5000 0.5000

## Properties
Fermi-level density of states in states/eV per cell: 3.54
Calculated density in Mg/m³: 8.46



9.
The following is a GGA-PBE calculation of a geometry-optimized BiPt structure, from Alexandria via LeMat-Bulk.

Unit cell a=7.2166 b=7.2166 c=7.2166 alpha=109.47 beta=109.47 gamma=109.47
Fractional coordinates of all 8 atoms:
Bi 0.0000 0.0000 0.3809
Bi 0.0000 0.3809 0.0000
Bi 0.3809 0.0000 0.0000
Bi 0.6191 0.6191 0.6191
Pt 0.0000 0.0000 0.7476
Pt 0.0000 0.7476 0.0000
Pt 0.2524 0.2524 0.2524
Pt 0.7476 0.0000 0.0000

## Properties
Fermi-level density of states in states/eV per cell: 3.00
Calculated density in Mg/m³: 9.28
Energy of formation in meV per atom: 105



10.
The following is a GGA-PBE calculation of a geometry-optimized Ta2TiC2 structure, from Alexandria via LeMat-Bulk.

Unit cell a=5.4128 b=5.4128 c=5.3863 alpha=99.36 beta=99.36 gamma=120.49
Fractional coordinates of all 10 atoms:
Ta 0.0705 0.9295 0.7500
Ta 0.2521 0.7479 0.2500
Ta 0.7479 0.2521 0.7500
Ta 0.9295 0.0705 0.2500
Ti 0.4300 0.5700 0.7500
Ti 0.5700 0.4300 0.2500
C 0.1693 0.3359 0.9984
C 0.3359 0.1693 0.4984
C 0.6641 0.8307 0.5016
C 0.8307 0.6641 0.0016

## Properties
Fermi-level density of states in states/eV per cell: 5.98
Calculated density in Mg/m³: 11.21
Energy of formation in meV per atom: -639



11.
The following is a GGA-PBE calculation of a geometry-optimized Th5Os2Au2 structure, from Alexandria via LeMat-Bulk.

Unit cell a=8.6888 b=8.6888 c=7.8605 alpha=90.00 beta=90.00 gamma=53.28
Fractional coordinates of all 18 atoms:
Th 0.0000 0.0000 0.0000
Th 0.0403 0.7097 0.6636
Th 0.2097 0.5403 0.1636
Th 0.2903 0.9597 0.6636
Th 0.4597 0.7903 0.1636
Th 0.5000 0.5000 0.5000
Th 0.5403 0.2097 0.8364
Th 0.7097 0.0403 0.3364
Th 0.7903 0.4597 0.8364
Th 0.9597 0.2903 0.3364
Os 0.1389 0.8611 0.3629
Os 0.3611 0.6389 0.8629
Os 0.6389 0.3611 0.1371
Os 0.8611 0.1389 0.6371
Au 0.2106 0.2106 0.0000
Au 0.2894 0.2894 0.5000
Au 0.7106 0.7106 0.5000
Au 0.7894 0.7894 0.0000

## Properties
Fermi-level density of states in states/eV per cell: 13.87
Calculated density in Mg/m³: 13.51
Energy of formation in meV per atom: -490



Number 1: total moment 0.00 μB per formula unit, uncorrected energy -8.933 eV per atom. Number 2: total moment 12.70 μB per formula unit, uncorrected energy -4.375 eV per atom. Number 3: total moment 0.00 μB per formula unit, uncorrected energy -5.622 eV per atom. Number 4: total moment 7.43 μB per formula unit, uncorrected energy -4.399 eV per atom. Number 5: total moment 0.00 μB per formula unit, uncorrected energy -3.686 eV per atom. Number 6: total moment 0.00 μB per formula unit, uncorrected energy -6.127 eV per atom. Number 7: total moment 0.00 μB per formula unit, uncorrected energy -4.957 eV per atom. Number 8: total moment 0.00 μB per formula unit, uncorrected energy -7.630 eV per atom. Number 9: total moment 0.00 μB per formula unit, uncorrected energy -4.856 eV per atom. Number 10: total moment 0.00 μB per formula unit, uncorrected energy -10.648 eV per atom. Number 11: total moment 0.00 μB per formula unit, uncorrected energy -7.836 eV per atom.